5
Lattice="-4.037 1.764 1.664 -2.136 -4.115 -0.820 1.122 -1.426 4.234" Properties=species:S:1:pos:R:3 comment="PBE CaCd2SnH, relaxed" dos_ef_per_ev_cell=1.8 e_tot_ev_per_cell=-12.1 pbc="T T T"
H 0.000 0.000 0.000
Ca 0.561 -0.713 2.117
Sn -2.525 -1.889 2.539
Cd -1.068 -2.058 -0.410
Cd -2.018 0.882 0.832